# 1
## TaZn2CN (PBE)

Data for an optimized crystal structure of TaZn2CN.

Lattice parameters (Å, degrees): 5.3055 3.9962 5.3055 90.00 90.00 90.00
Element x y z (fractional)
Zn 0.0000 0.0000 0.5000
Zn 0.5000 0.0000 0.0000
N 0.5000 0.5000 0.5000
C 0.0000 0.5000 0.0000
Ta 0.0000 0.0000 0.0000

Properties
Its energy relative to the elements, uncorrected is 2.0468 eV per atom. The value obtained for the density of states at the Fermi level is 2.77 states/eV/cell. The total energy comes out at -4.3432 eV/atom.

***

# 2
## ZrTaCN (PBE)

Data for an optimized crystal structure of ZrTaCN.

Lattice parameters (Å, degrees): 5.6059 5.6059 5.6059 33.33 33.33 33.33
Element x y z (fractional)
C 0.0050 0.0050 0.0050
N 0.4953 0.4953 0.4953
Zr 0.2529 0.2529 0.2529
Ta 0.7468 0.7468 0.7468

Properties
Its energy relative to the elements, uncorrected is -1.0596 eV per atom. The value obtained for the relative energy among the computed polymorphs is 0.00 kcal/mol of atoms. The value obtained for the density of states at the Fermi level is 1.06 states/eV/cell. The total energy comes out at -10.5471 eV/atom.

***

# 3
## ZrTaCN (PBE)

Data for an optimized crystal structure of ZrTaCN.

Lattice parameters (Å, degrees): 3.1626 3.1633 5.8462 90.00 105.69 120.01
Element x y z (fractional)
Zr 0.4820 0.1390 0.6367
Ta 0.1247 0.9603 0.0992
C 0.3170 0.5565 0.8888
N 0.9542 0.3751 0.3450

Properties
Its energy relative to the elements, uncorrected is -0.9835 eV per atom. The value obtained for the relative energy among the computed polymorphs is 1.75 kcal/mol of atoms. The value obtained for the density of states at the Fermi level is 1.03 states/eV/cell. The total energy comes out at -10.4710 eV/atom.

***

# 4
## TbCN3 (PBE)

Data for an optimized crystal structure of TbCN3.

Lattice parameters (Å, degrees): 3.4411 5.1156 6.3799 90.00 110.62 90.00
Element x y z (fractional)
Tb 0.7310 0.7500 0.3210
Tb 0.2690 0.2500 0.6790
C 0.7119 0.7500 0.8010
C 0.2881 0.2500 0.1990
N 0.1462 0.0092 0.1117
N 0.8538 0.9908 0.8883
N 0.1462 0.4908 0.1117
N 0.8538 0.5092 0.8883
N 0.3870 0.7500 0.6009
N 0.6130 0.2500 0.3991

Properties
Its energy relative to the elements, uncorrected is -0.5714 eV per atom. The total energy comes out at -8.3375 eV/atom.

***

# 5
## Tb4CN (PBE)

Data for an optimized crystal structure of Tb4CN.

Lattice parameters (Å, degrees): 5.0266 5.0266 6.2817 113.58 113.58 90.00
Element x y z (fractional)
Tb 0.0166 0.5166 0.0331
Tb 0.7377 0.7377 0.4755
Tb 0.4834 0.9834 0.9669
Tb 0.2623 0.2623 0.5245
C 0.5000 0.5000 0.0000
N 0.2500 0.7500 0.5000

Properties
Its energy relative to the elements, uncorrected is -0.6005 eV per atom. The value obtained for the density of states at the Fermi level is 4.66 states/eV/cell. The total energy comes out at -6.6123 eV/atom.

***

# 6
## TbCN3 (PBE)

Data for an optimized crystal structure of TbCN3.

Lattice parameters (Å, degrees): 3.5047 5.6966 6.3580 90.00 106.13 90.00
Element x y z (fractional)
Tb 0.8486 0.7500 0.1956
Tb 0.1514 0.2500 0.8044
C 0.5858 0.7500 0.6717
C 0.4142 0.2500 0.3283
N 0.3478 0.0632 0.1930
N 0.6522 0.9368 0.8070
N 0.3478 0.4368 0.1930
N 0.6522 0.5632 0.8070
N 0.4787 0.7500 0.4525
N 0.5213 0.2500 0.5475

Properties
Its energy relative to the elements, uncorrected is -0.1978 eV per atom. The value obtained for the density of states at the Fermi level is 2.17 states/eV/cell. The total energy comes out at -7.9638 eV/atom.

***

# 7
## Tb8C3N2 (PBE)

Data for an optimized crystal structure of Tb8C3N2.

Lattice parameters (Å, degrees): 6.3393 7.1512 7.1512 60.30 73.48 73.48
Element x y z (fractional)
Tb 0.7820 0.6226 0.6226
Tb 0.2180 0.3774 0.3774
Tb 0.7608 0.1180 0.1180
Tb 0.2392 0.8820 0.8820
Tb 0.7676 0.6355 0.1122
Tb 0.7676 0.1122 0.6355
Tb 0.2324 0.8878 0.3645
Tb 0.2324 0.3645 0.8878
C 0.5000 0.0000 0.0000
C 0.0000 0.2538 0.7462
C 0.0000 0.7462 0.2538
N 0.0113 0.2487 0.2487
N 0.9887 0.7513 0.7513

Properties
Its energy relative to the elements, uncorrected is -0.6522 eV per atom. The value obtained for the density of states at the Fermi level is 7.36 states/eV/cell. The total energy comes out at -6.9110 eV/atom.

***

# 8
## TbC3N6 (PBE)

Data for an optimized crystal structure of TbC3N6.

Lattice parameters (Å, degrees): 3.7694 6.6364 6.6364 116.50 100.91 100.91
Element x y z (fractional)
Tb 0.2599 0.0000 0.0000
C 0.9684 0.4486 0.0000
C 0.9684 0.0000 0.4486
C 0.5198 0.5514 0.5514
N 0.0976 0.0000 0.6309
N 0.0976 0.6309 0.0000
N 0.8479 0.0000 0.2610
N 0.8479 0.2610 0.0000
N 0.5868 0.7390 0.7390
N 0.4667 0.3691 0.3691

Properties
Its energy relative to the elements, uncorrected is 0.1022 eV per atom. The value obtained for the density of states at the Fermi level is 3.83 states/eV/cell. The total energy comes out at -8.1232 eV/atom.